A relaxed structure of TaZn2Ir2. Source: Alexandria, functional PBE.

abc: 7.128 7.128 3.038
angles: 90.00 90.00 90.00
Space group P4/mbm (No. 127)
Unique sites:
Ta 0.000 0.000 0.000 (multiplicity 2)
Zn 0.157 0.343 0.500 (multiplicity 4)
Ir 0.141 0.641 0.000 (multiplicity 4)

A relaxed structure of Ta2ZnIr2. Source: Alexandria, functional PBE.

abc: 7.769 7.769 2.888
angles: 90.00 90.00 90.00
Space group P4/mbm (No. 127)
Unique sites:
Ta 0.159 0.341 0.000 (multiplicity 4)
Zn 0.000 0.000 0.000 (multiplicity 2)
Ir 0.134 0.634 0.500 (multiplicity 4)

A relaxed structure of Ta2ZnIr. Source: Alexandria, functional PBE.

abc: 9.648 2.960 4.811
angles: 90.00 106.98 90.00
Space group Cm (No. 8)
Unique sites:
Ta 0.000 0.000 0.000 (multiplicity 2)
Ta 0.245 0.000 0.745 (multiplicity 2)
Zn 0.262 0.500 0.255 (multiplicity 2)
Ir 0.006 0.500 0.491 (multiplicity 2)

A relaxed structure of TaZnIr4. Source: Alexandria, functional PBE.

abc: 7.290 7.290 7.290
angles: 90.00 90.00 90.00
Space group F-43m (No. 216)
Unique sites:
Ta 0.000 0.000 0.000 (multiplicity 4)
Zn 0.250 0.250 0.750 (multiplicity 4)
Ir 0.124 0.124 0.376 (multiplicity 16)

A relaxed structure of Ta2ZnIr. Source: Alexandria, functional PBE.

abc: 2.858 4.041 5.579
angles: 90.00 90.22 90.00
Space group P2/m (No. 10)
Unique sites:
Ta 0.001 0.000 0.245 (multiplicity 2)
Zn 0.500 0.500 0.500 (multiplicity 1)
Ir 0.500 0.500 0.000 (multiplicity 1)

A relaxed structure of TaZn3Ir. Source: Alexandria, functional PBE.

abc: 4.631 4.631 4.631
angles: 90.00 90.00 90.00
Space group Pm-3m (No. 221)
Unique sites:
Ta 0.000 0.000 0.000 (multiplicity 1)
Zn 0.000 0.500 0.500 (multiplicity 3)
Ir 0.500 0.500 0.500 (multiplicity 1)

A relaxed structure of Ta2Zn2Ir. Source: Alexandria, functional PBE.

abc: 6.495 6.495 3.709
angles: 90.00 90.00 90.00
Space group P4/mbm (No. 127)
Unique sites:
Ta 0.172 0.328 0.000 (multiplicity 4)
Zn 0.130 0.630 0.500 (multiplicity 4)
Ir 0.000 0.000 0.500 (multiplicity 2)

A relaxed structure of Ta2ZnIr. Source: Alexandria, functional PBE.

abc: 4.007 4.007 8.064
angles: 90.00 90.00 90.00
Space group I4/mmm (No. 139)
Unique sites:
Ta 0.000 0.500 0.250 (multiplicity 4)
Zn 0.000 0.000 0.000 (multiplicity 2)
Ir 0.000 0.000 0.500 (multiplicity 2)

A relaxed structure of TaZn2Ir2. Source: Alexandria, functional PBE.

abc: 3.994 3.994 9.960
angles: 90.00 90.00 90.00
Space group I4/mmm (No. 139)
Unique sites:
Ta 0.000 0.000 0.000 (multiplicity 2)
Zn 0.000 0.000 0.391 (multiplicity 4)
Ir 0.000 0.500 0.250 (multiplicity 4)

A relaxed structure of Ta2ZnIr2. Source: Alexandria, functional PBE.

abc: 7.661 7.661 2.918
angles: 90.00 90.00 90.00
Space group P4/mbm (No. 127)
Unique sites:
Ta 0.164 0.336 0.000 (multiplicity 4)
Zn 0.000 0.000 0.500 (multiplicity 2)
Ir 0.131 0.631 0.500 (multiplicity 4)

A relaxed structure of TaZn2Ir2. Source: Alexandria, functional PBE.

abc: 7.243 7.243 2.857
angles: 90.00 90.00 90.00
Space group P4/mbm (No. 127)
Unique sites:
Ta 0.000 0.000 0.000 (multiplicity 2)
Zn 0.116 0.384 0.000 (multiplicity 4)
Ir 0.183 0.683 0.500 (multiplicity 4)

A relaxed structure of Ta2ZnIr. Source: Alexandria, functional PBE.

abc: 5.634 8.069 2.837
angles: 90.00 90.16 90.00
Space group C2/m (No. 12)
Unique sites:
Ta 0.250 0.250 0.000 (multiplicity 4)
Zn 0.000 0.000 0.500 (multiplicity 2)
Ir 0.000 0.500 0.500 (multiplicity 2)

These records have N(E_F) values of 5.029, 6.214, 5.737, 16.561, 2.450, 3.432, 7.161, 7.599, 7.265, 4.196, 6.335, 6.719 states/eV per cell, in the order they appear.
These records have formation energy from the elements values of -0.5, -1.2, -0.7, -0.1, -1.1, 4.9, -0.3, -0.8, 1.5, -1.9, -0.9, -1.0 eV per formula unit, in the order they appear.